The following is a DFT calculation (GGA-PBE) of a relaxed Na2Nd3ErS6 crystal.

Calculated values
Volume in Å³ per atom: 23.18
Energy relative to the elements, uncorrected in eV per atom: -1.86
DOS at the Fermi energy in states/eV/atom: 0.27

```
data_Na2Nd3ErS6
_chemical_formula_sum 'Na4 Nd6 Er2 S12'
_cell_length_a 6.9933
_cell_length_b 12.0973
_cell_length_c 6.9716
_cell_angle_alpha 90.00
_cell_angle_beta 109.42
_cell_angle_gamma 90.00
_symmetry_space_group_name_H-M 'C 1 2/m 1'
_symmetry_Int_Tables_number 12
_symmetry_space_group_name_Hall '-C 2y'
loop_
_atom_site_label
_atom_site_type_symbol
_atom_site_fract_x
_atom_site_fract_y
_atom_site_fract_z
Na1 Na 0.0000 0.1655 0.0000
Nd1 Nd 0.0000 0.0000 0.5000
Nd2 Nd 0.0000 0.3291 0.5000
Er1 Er 0.0000 0.5000 0.0000
S1 S 0.2391 0.5000 0.7518
S2 S 0.2423 0.3386 0.2423
```